Record 1
A crystal of SrMg2Co relaxed with PBEsol. Source: the Alexandria database, functional meta-GGA SCAN.

The calculation puts the formation energy at 1.074 eV per formula unit.

The space group is P4/mmm (No. 123) and the conventional cell measures 3.307, 3.307 and 8.109 Å, with angles of 90.00, 90.00 and 90.00 degrees. The inequivalent atoms are Sr at (0.000, 0.000, 0.000), Mg at (0.500, 0.500, 0.330) and Co at (0.000, 0.000, 0.500).

=====

Record 2
A crystal of Te3As2 relaxed with PBEsol. Source: the Alexandria database, functional meta-GGA SCAN.

For the energy above the most stable polymorph in this dataset, the calculation gives 5 meV per atom. For the formation energy (no corrections), the calculation gives 0.64 kJ/mol of atoms.

The space group is R-3m (No. 166, hexagonal axes) and the conventional cell measures 4.0506, 4.0506 and 28.5203 Å, with angles of 90.00, 90.00 and 120.00 degrees. The inequivalent atoms are Te at (0.0000, 0.0000, 0.0000), Te at (0.0000, 0.0000, 0.2138) and As at (0.0000, 0.0000, 0.3970).

=====

Record 3
A crystal of Ca2TaMn relaxed with PBEsol. Source: the Alexandria database, functional meta-GGA SCAN.

The calculation puts the formation energy at 2.909 eV per formula unit. For the energy above the most stable polymorph in this dataset, the calculation gives 125 meV per atom.

The space group is Pmmm (No. 47) and the conventional cell measures 3.024, 4.958 and 5.924 Å, with angles of 90.00, 90.00 and 90.00 degrees. The inequivalent atoms are Ca at (0.000, 0.000, 0.249), Ta at (0.500, 0.500, 0.500) and Mn at (0.500, 0.500, 0.000).

=====

Record 4
A crystal of KRbO relaxed with PBEsol. Source: the Alexandria database, functional meta-GGA SCAN.

For the formation energy (no corrections), the calculation gives -100.56 kJ/mol of atoms.

The space group is P4/nmm (No. 129, origin choice 2) and the conventional cell measures 4.616, 4.616 and 6.625 Å, with angles of 90.00, 90.00 and 90.00 degrees. The inequivalent atoms are K at (0.250, 0.250, 0.104), Rb at (0.250, 0.750, 0.500) and O at (0.250, 0.250, 0.736).

=====

Record 5
A crystal of CaSbAsSe2 relaxed with PBEsol. Source: the Alexandria database, functional meta-GGA SCAN.

For the formation energy (no corrections), the calculation gives -20.02 kJ/mol of atoms.

The space group is P4/mmm (No. 123) and the conventional cell measures 5.284, 5.284 and 5.164 Å, with angles of 90.00, 90.00 and 90.00 degrees. The inequivalent atoms are Ca at (0.000, 0.000, 0.000), Sb at (0.500, 0.500, 0.500), As at (0.500, 0.500, 0.000) and Se at (0.000, 0.500, 0.500).

=====

Record 6
A crystal of YTlSb2Te relaxed with PBEsol. Source: the Alexandria database, functional meta-GGA SCAN.

For the formation energy (no corrections), the calculation gives -0.55 kJ/mol of atoms.

The space group is P4/mmm (No. 123) and the conventional cell measures 5.729, 5.729 and 5.749 Å, with angles of 90.00, 90.00 and 90.00 degrees. The inequivalent atoms are Y at (0.000, 0.000, 0.000), Tl at (0.500, 0.500, 0.500), Sb at (0.000, 0.500, 0.000) and Te at (0.000, 0.000, 0.500).

=====

Record 7
A crystal of La2WAu relaxed with PBEsol. Source: the Alexandria database, functional meta-GGA SCAN.

The calculation puts the formation energy at 0.949 eV per formula unit. For the energy above the most stable polymorph in this dataset, the calculation gives 99 meV per atom.

The space group is P4mm (No. 99) and the conventional cell measures 3.600, 3.600 and 7.967 Å, with angles of 90.00, 90.00 and 90.00 degrees. The inequivalent atoms are La at (0.000, 0.000, 0.000), La at (0.500, 0.500, 0.395), W at (0.000, 0.000, 0.651) and Au at (0.500, 0.500, 0.778).

=====

Record 8
A crystal of LiZnCrSn2 relaxed with PBEsol. Source: the Alexandria database, functional meta-GGA SCAN.

The calculation puts the formation energy at 2.348 eV per formula unit.

The space group is P4/mmm (No. 123) and the conventional cell measures 4.836, 4.836 and 4.418 Å, with angles of 90.00, 90.00 and 90.00 degrees. The inequivalent atoms are Li at (0.000, 0.000, 0.000), Zn at (0.000, 0.000, 0.500), Cr at (0.500, 0.500, 0.500) and Sn at (0.000, 0.500, 0.000).

=====

Record-wise total DFT energy (no corrections) values, in eV/atom: -12.1133, -30.4202, -25.3139, -12.8087, -21.6618, -42.4004, -56.0265, -20.7568